Entry 1:
Below is a relaxed structure of RbTaOs, with properties calculated at the PBE level.

Values from the calculation:
Excess energy over the best structure of this formula in the dataset, meV/atom: 0.0
Magnetization, μB per formula unit: 0.0
Uncorrected energy, eV per atom: -6.2449

Geometry as CIF:
```
data_RbTaOs
_chemical_formula_sum 'Rb4 Ta4 Os4'
_cell_length_a 6.567
_cell_length_b 6.567
_cell_length_c 6.567
_cell_angle_alpha 90.00
_cell_angle_beta 90.00
_cell_angle_gamma 90.00
_symmetry_space_group_name_H-M 'P 1'
_symmetry_Int_Tables_number 1
_symmetry_space_group_name_Hall 'P 1'
loop_
_atom_site_label
_atom_site_type_symbol
_atom_site_fract_x
_atom_site_fract_y
_atom_site_fract_z
_atom_site_occupancy
Rb1 Rb 0.000 0.000 0.000 1
Rb2 Rb 0.000 0.500 0.500 1
Rb3 Rb 0.500 0.000 0.500 1
Rb4 Rb 0.500 0.500 0.000 1
Ta1 Ta 0.000 0.000 0.500 1
Ta2 Ta 0.000 0.500 0.000 1
Ta3 Ta 0.500 0.000 0.000 1
Ta4 Ta 0.500 0.500 0.500 1
Os1 Os 0.250 0.250 0.250 1
Os2 Os 0.250 0.750 0.750 1
Os3 Os 0.750 0.250 0.750 1
Os4 Os 0.750 0.750 0.250 1
```

Entry 2:
Below is a relaxed structure of RbTlOs, with properties calculated at the PBE level.

Values from the calculation:
Excess energy over the best structure of this formula in the dataset, meV/atom: 0.0
Magnetization, μB per formula unit: 1.6
Uncorrected energy, eV per atom: -3.2832

Geometry as CIF:
```
data_RbTlOs
_chemical_formula_sum 'Rb4 Tl4 Os4'
_cell_length_a 7.096
_cell_length_b 7.096
_cell_length_c 7.096
_cell_angle_alpha 90.00
_cell_angle_beta 90.00
_cell_angle_gamma 90.00
_symmetry_space_group_name_H-M 'P 1'
_symmetry_Int_Tables_number 1
_symmetry_space_group_name_Hall 'P 1'
loop_
_atom_site_label
_atom_site_type_symbol
_atom_site_fract_x
_atom_site_fract_y
_atom_site_fract_z
_atom_site_occupancy
Rb1 Rb 0.000 0.000 0.000 1
Rb2 Rb 0.000 0.500 0.500 1
Rb3 Rb 0.500 0.000 0.500 1
Rb4 Rb 0.500 0.500 0.000 1
Tl1 Tl 0.000 0.000 0.500 1
Tl2 Tl 0.000 0.500 0.000 1
Tl3 Tl 0.500 0.000 0.000 1
Tl4 Tl 0.500 0.500 0.500 1
Os1 Os 0.250 0.250 0.250 1
Os2 Os 0.250 0.750 0.750 1
Os3 Os 0.750 0.250 0.750 1
Os4 Os 0.750 0.750 0.250 1
```

Entry 3:
Below is a relaxed structure of RbTlOs, with properties calculated at the PBE level.

Values from the calculation:
Excess energy over the best structure of this formula in the dataset, meV/atom: 544.3
Magnetization, μB per formula unit: 2.3
Uncorrected energy, eV per atom: -2.7388

Geometry as CIF:
```
data_RbTlOs
_chemical_formula_sum 'Rb4 Tl4 Os4'
_cell_length_a 7.631
_cell_length_b 7.631
_cell_length_c 7.631
_cell_angle_alpha 90.00
_cell_angle_beta 90.00
_cell_angle_gamma 90.00
_symmetry_space_group_name_H-M 'P 1'
_symmetry_Int_Tables_number 1
_symmetry_space_group_name_Hall 'P 1'
loop_
_atom_site_label
_atom_site_type_symbol
_atom_site_fract_x
_atom_site_fract_y
_atom_site_fract_z
_atom_site_occupancy
Rb1 Rb 0.000 0.000 0.000 1
Rb2 Rb 0.000 0.500 0.500 1
Rb3 Rb 0.500 0.000 0.500 1
Rb4 Rb 0.500 0.500 0.000 1
Tl1 Tl 0.250 0.250 0.250 1
Tl2 Tl 0.250 0.750 0.750 1
Tl3 Tl 0.750 0.250 0.750 1
Tl4 Tl 0.750 0.750 0.250 1
Os1 Os 0.250 0.250 0.750 1
Os2 Os 0.250 0.750 0.250 1
Os3 Os 0.750 0.250 0.250 1
Os4 Os 0.750 0.750 0.750 1
```

Entry 4:
Below is a relaxed structure of RbTmOs, with properties calculated at the PBE level.

Values from the calculation:
Excess energy over the best structure of this formula in the dataset, meV/atom: 0.0
Magnetization, μB per formula unit: 0.0
Uncorrected energy, eV per atom: -4.3985

Geometry as CIF:
```
data_RbTmOs
_chemical_formula_sum 'Rb4 Tm4 Os4'
_cell_length_a 6.947
_cell_length_b 6.947
_cell_length_c 6.947
_cell_angle_alpha 90.00
_cell_angle_beta 90.00
_cell_angle_gamma 90.00
_symmetry_space_group_name_H-M 'P 1'
_symmetry_Int_Tables_number 1
_symmetry_space_group_name_Hall 'P 1'
loop_
_atom_site_label
_atom_site_type_symbol
_atom_site_fract_x
_atom_site_fract_y
_atom_site_fract_z
_atom_site_occupancy
Rb1 Rb 0.000 0.000 0.000 1
Rb2 Rb 0.000 0.500 0.500 1
Rb3 Rb 0.500 0.000 0.500 1
Rb4 Rb 0.500 0.500 0.000 1
Tm1 Tm 0.000 0.000 0.500 1
Tm2 Tm 0.000 0.500 0.000 1
Tm3 Tm 0.500 0.000 0.000 1
Tm4 Tm 0.500 0.500 0.500 1
Os1 Os 0.250 0.250 0.250 1
Os2 Os 0.250 0.750 0.750 1
Os3 Os 0.750 0.250 0.750 1
Os4 Os 0.750 0.750 0.250 1
```

Entry 5:
Below is a relaxed structure of RbOsW, with properties calculated at the PBE level.

Values from the calculation:
Excess energy over the best structure of this formula in the dataset, meV/atom: 0.0
Magnetization, μB per formula unit: 0.0
Uncorrected energy, eV per atom: -6.1663

Geometry as CIF:
```
data_RbOsW
_chemical_formula_sum 'Rb4 Os4 W4'
_cell_length_a 6.391
_cell_length_b 6.391
_cell_length_c 6.391
_cell_angle_alpha 90.00
_cell_angle_beta 90.00
_cell_angle_gamma 90.00
_symmetry_space_group_name_H-M 'P 1'
_symmetry_Int_Tables_number 1
_symmetry_space_group_name_Hall 'P 1'
loop_
_atom_site_label
_atom_site_type_symbol
_atom_site_fract_x
_atom_site_fract_y
_atom_site_fract_z
_atom_site_occupancy
Rb1 Rb 0.000 0.000 0.000 1
Rb2 Rb 0.000 0.500 0.500 1
Rb3 Rb 0.500 0.000 0.500 1
Rb4 Rb 0.500 0.500 0.000 1
Os1 Os 0.000 0.000 0.500 1
Os2 Os 0.000 0.500 0.000 1
Os3 Os 0.500 0.000 0.000 1
Os4 Os 0.500 0.500 0.500 1
W1 W 0.250 0.250 0.750 1
W2 W 0.250 0.750 0.250 1
W3 W 0.750 0.250 0.250 1
W4 W 0.750 0.750 0.750 1
```

Entry 6:
Below is a relaxed structure of RbOsW, with properties calculated at the PBE level.

Values from the calculation:
Excess energy over the best structure of this formula in the dataset, meV/atom: 1637.6
Magnetization, μB per formula unit: 0.4
Uncorrected energy, eV per atom: -4.5287

Geometry as CIF:
```
data_RbOsW
_chemical_formula_sum 'Rb4 Os4 W4'
_cell_length_a 6.341
_cell_length_b 6.341
_cell_length_c 6.341
_cell_angle_alpha 90.00
_cell_angle_beta 90.00
_cell_angle_gamma 90.00
_symmetry_space_group_name_H-M 'P 1'
_symmetry_Int_Tables_number 1
_symmetry_space_group_name_Hall 'P 1'
loop_
_atom_site_label
_atom_site_type_symbol
_atom_site_fract_x
_atom_site_fract_y
_atom_site_fract_z
_atom_site_occupancy
Rb1 Rb 0.000 0.000 0.000 1
Rb2 Rb 0.000 0.500 0.500 1
Rb3 Rb 0.500 0.000 0.500 1
Rb4 Rb 0.500 0.500 0.000 1
Os1 Os 0.250 0.250 0.750 1
Os2 Os 0.250 0.750 0.250 1
Os3 Os 0.750 0.250 0.250 1
Os4 Os 0.750 0.750 0.750 1
W1 W 0.250 0.250 0.250 1
W2 W 0.250 0.750 0.750 1
W3 W 0.750 0.250 0.750 1
W4 W 0.750 0.750 0.250 1
```

Entry 7:
Below is a relaxed structure of ReOs2, with properties calculated at the PBE level.

Values from the calculation:
Excess energy over the best structure of this formula in the dataset, meV/atom: 3529.7
Magnetization, μB per formula unit: 3.1
Uncorrected energy, eV per atom: -7.5068
Energy relative to the elements, eV per atom: 4.12

Geometry as CIF:
```
data_ReOs2
_chemical_formula_sum 'Re2 Os4'
_cell_length_a 7.577
_cell_length_b 7.577
_cell_length_c 7.577
_cell_angle_alpha 60.00
_cell_angle_beta 60.00
_cell_angle_gamma 60.00
_symmetry_space_group_name_H-M 'P 1'
_symmetry_Int_Tables_number 1
_symmetry_space_group_name_Hall 'P 1'
loop_
_atom_site_label
_atom_site_type_symbol
_atom_site_fract_x
_atom_site_fract_y
_atom_site_fract_z
_atom_site_occupancy
Re1 Re 0.125 0.125 0.125 1
Re2 Re 0.875 0.875 0.875 1
Os1 Os 0.000 0.000 0.000 1
Os2 Os 0.000 0.000 0.500 1
Os3 Os 0.000 0.500 0.000 1
Os4 Os 0.500 0.000 0.000 1
```

Entry 8:
Below is a relaxed structure of ReOs2, with properties calculated at the PBE level.

Values from the calculation:
Excess energy over the best structure of this formula in the dataset, meV/atom: 0.0
Magnetization, μB per formula unit: 0.0
Uncorrected energy, eV per atom: -11.0365
Energy relative to the elements, eV per atom: 0.59

Geometry as CIF:
```
data_ReOs2
_chemical_formula_sum 'Re4 Os8'
_cell_length_a 5.905
_cell_length_b 5.905
_cell_length_c 5.905
_cell_angle_alpha 90.00
_cell_angle_beta 90.00
_cell_angle_gamma 90.00
_symmetry_space_group_name_H-M 'P 1'
_symmetry_Int_Tables_number 1
_symmetry_space_group_name_Hall 'P 1'
loop_
_atom_site_label
_atom_site_type_symbol
_atom_site_fract_x
_atom_site_fract_y
_atom_site_fract_z
_atom_site_occupancy
Re1 Re 0.000 0.000 0.000 1
Re2 Re 0.000 0.500 0.500 1
Re3 Re 0.500 0.000 0.500 1
Re4 Re 0.500 0.500 0.000 1
Os1 Os 0.250 0.250 0.250 1
Os2 Os 0.250 0.250 0.750 1
Os3 Os 0.250 0.750 0.250 1
Os4 Os 0.250 0.750 0.750 1
Os5 Os 0.750 0.250 0.250 1
Os6 Os 0.750 0.250 0.750 1
Os7 Os 0.750 0.750 0.250 1
Os8 Os 0.750 0.750 0.750 1
```

Entry 9:
Below is a relaxed structure of ReOs2, with properties calculated at the PBE level.

Values from the calculation:
Excess energy over the best structure of this formula in the dataset, meV/atom: 127.2
Magnetization, μB per formula unit: 0.0
Uncorrected energy, eV per atom: -10.9094
Energy relative to the elements, eV per atom: 0.72

Geometry as CIF:
```
data_ReOs2
_chemical_formula_sum 'Re2 Os4'
_cell_length_a 5.063
_cell_length_b 5.063
_cell_length_c 5.063
_cell_angle_alpha 60.00
_cell_angle_beta 60.00
_cell_angle_gamma 60.00
_symmetry_space_group_name_H-M 'P 1'
_symmetry_Int_Tables_number 1
_symmetry_space_group_name_Hall 'P 1'
loop_
_atom_site_label
_atom_site_type_symbol
_atom_site_fract_x
_atom_site_fract_y
_atom_site_fract_z
_atom_site_occupancy
Re1 Re 0.125 0.125 0.125 1
Re2 Re 0.875 0.875 0.875 1
Os1 Os 0.000 0.500 0.500 1
Os2 Os 0.500 0.000 0.500 1
Os3 Os 0.500 0.500 0.000 1
Os4 Os 0.500 0.500 0.500 1
```

Entry 10:
Below is a relaxed structure of Sc2ReOs3, with properties calculated at the PBE level.

Values from the calculation:
Magnetization, μB per formula unit: 0.0
Uncorrected energy, eV per atom: -10.1774
Energy relative to the elements, eV per atom: -0.38

Geometry as CIF:
```
data_Sc2ReOs3
_chemical_formula_sum 'Sc4 Re2 Os6'
_cell_length_a 5.286
_cell_length_b 5.286
_cell_length_c 8.346
_cell_angle_alpha 90.00
_cell_angle_beta 90.00
_cell_angle_gamma 120.00
_symmetry_space_group_name_H-M 'P 1'
_symmetry_Int_Tables_number 1
_symmetry_space_group_name_Hall 'P 1'
loop_
_atom_site_label
_atom_site_type_symbol
_atom_site_fract_x
_atom_site_fract_y
_atom_site_fract_z
_atom_site_occupancy
Sc1 Sc 0.333 0.667 0.066 1
Sc2 Sc 0.333 0.667 0.434 1
Sc3 Sc 0.667 0.333 0.566 1
Sc4 Sc 0.667 0.333 0.934 1
Re1 Re 0.000 0.000 0.000 1
Re2 Re 0.000 0.000 0.500 1
Os1 Os 0.174 0.347 0.750 1
Os2 Os 0.174 0.826 0.750 1
Os3 Os 0.347 0.174 0.250 1
Os4 Os 0.653 0.826 0.750 1
Os5 Os 0.826 0.174 0.250 1
Os6 Os 0.826 0.653 0.250 1
```

Entry 11:
Below is a relaxed structure of Sc2Re3Os, with properties calculated at the PBE level.

Values from the calculation:
Magnetization, μB per formula unit: 0.0
Uncorrected energy, eV per atom: -10.5590
Energy relative to the elements, eV per atom: -0.37

Geometry as CIF:
```
data_Sc2Re3Os
_chemical_formula_sum 'Sc4 Re6 Os2'
_cell_length_a 5.213
_cell_length_b 5.213
_cell_length_c 8.699
_cell_angle_alpha 90.00
_cell_angle_beta 90.00
_cell_angle_gamma 120.00
_symmetry_space_group_name_H-M 'P 1'
_symmetry_Int_Tables_number 1
_symmetry_space_group_name_Hall 'P 1'
loop_
_atom_site_label
_atom_site_type_symbol
_atom_site_fract_x
_atom_site_fract_y
_atom_site_fract_z
_atom_site_occupancy
Sc1 Sc 0.333 0.667 0.063 1
Sc2 Sc 0.333 0.667 0.437 1
Sc3 Sc 0.667 0.333 0.563 1
Sc4 Sc 0.667 0.333 0.937 1
Re1 Re 0.172 0.344 0.750 1
Re2 Re 0.172 0.828 0.750 1
Re3 Re 0.344 0.172 0.250 1
Re4 Re 0.656 0.828 0.750 1
Re5 Re 0.828 0.172 0.250 1
Re6 Re 0.828 0.656 0.250 1
Os1 Os 0.000 0.000 0.000 1
Os2 Os 0.000 0.000 0.500 1
```

Entry 12:
Below is a relaxed structure of Sm2ReOs3, with properties calculated at the PBE level.

Values from the calculation:
Magnetization, μB per formula unit: 0.0
Uncorrected energy, eV per atom: -9.4173
Energy relative to the elements, eV per atom: -0.16

Geometry as CIF:
```
data_Sm2ReOs3
_chemical_formula_sum 'Sm4 Re2 Os6'
_cell_length_a 5.506
_cell_length_b 5.506
_cell_length_c 8.543
_cell_angle_alpha 90.00
_cell_angle_beta 90.00
_cell_angle_gamma 120.00
_symmetry_space_group_name_H-M 'P 1'
_symmetry_Int_Tables_number 1
_symmetry_space_group_name_Hall 'P 1'
loop_
_atom_site_label
_atom_site_type_symbol
_atom_site_fract_x
_atom_site_fract_y
_atom_site_fract_z
_atom_site_occupancy
Sm1 Sm 0.333 0.667 0.065 1
Sm2 Sm 0.333 0.667 0.435 1
Sm3 Sm 0.667 0.333 0.565 1
Sm4 Sm 0.667 0.333 0.935 1
Re1 Re 0.000 0.000 0.000 1
Re2 Re 0.000 0.000 0.500 1
Os1 Os 0.171 0.343 0.750 1
Os2 Os 0.171 0.829 0.750 1
Os3 Os 0.343 0.171 0.250 1
Os4 Os 0.657 0.829 0.750 1
Os5 Os 0.829 0.171 0.250 1
Os6 Os 0.829 0.657 0.250 1
```